Entry 1:
Entry from Alexandria via LeMat-Bulk: a relaxed YThRhAu crystal (PBE).

a b c (Å): 3.9297 4.1530 6.2250
angles (deg): 90.00 108.40 90.00
Element x y z (fractional)
Y: 0.1490 0.0000 0.2981
Th: 0.8684 0.5000 0.7368
Rh: 0.3986 0.0000 0.7973
Au: 0.5839 0.5000 0.1679

Properties
Distance to the lowest polymorph of the same formula = 0.0 kJ/mol of formula units
Density = 10.694 g/cm3
ΔH_f (0 K) = -0.90 eV per atom
M_tot = 0.00 μB per formula unit
DOS at the Fermi energy = 0.599 states/eV per atom

=====

Entry 2:
Entry from Alexandria via LeMat-Bulk: a relaxed HgGeCl3 crystal (PBE).

a b c (Å): 7.3186 7.8324 16.1711
angles (deg): 90.00 61.36 90.00
Element x y z (fractional)
Hg: 0.7422 0.4775 0.2640
Hg: 0.7578 0.9775 0.2360
Hg: 0.2578 0.5225 0.7360
Hg: 0.2422 0.0225 0.7640
Ge: 0.4541 0.6525 0.0176
Ge: 0.0459 0.1525 0.4824
Ge: 0.5459 0.3475 0.9824
Ge: 0.9541 0.8475 0.5176
Cl: 0.2240 0.6933 0.4335
Cl: 0.2760 0.1933 0.0665
Cl: 0.7760 0.3067 0.5665
Cl: 0.7240 0.8067 0.9335
Cl: 0.8498 0.7979 0.6642
Cl: 0.6502 0.2979 0.8358
Cl: 0.1502 0.2021 0.3358
Cl: 0.3498 0.7021 0.1642
Cl: 0.7107 0.7824 0.4848
Cl: 0.7893 0.2824 0.0152
Cl: 0.2893 0.2176 0.5152
Cl: 0.2107 0.7176 0.9848

Properties
Distance to the lowest polymorph of the same formula = 0.0 kJ/mol of formula units
Uncorrected formation energy = -674 meV/atom
Density = 3.099 g/cm3
M_tot = 0.00 μB per formula unit
DOS at the Fermi energy = 0.000 states/eV per atom

=====

Repeat the second record exactly.
Entry from Alexandria via LeMat-Bulk: a relaxed HgGeCl3 crystal (PBE).

a b c (Å): 7.3186 7.8324 16.1711
angles (deg): 90.00 61.36 90.00
Element x y z (fractional)
Hg: 0.7422 0.4775 0.2640
Hg: 0.7578 0.9775 0.2360
Hg: 0.2578 0.5225 0.7360
Hg: 0.2422 0.0225 0.7640
Ge: 0.4541 0.6525 0.0176
Ge: 0.0459 0.1525 0.4824
Ge: 0.5459 0.3475 0.9824
Ge: 0.9541 0.8475 0.5176
Cl: 0.2240 0.6933 0.4335
Cl: 0.2760 0.1933 0.0665
Cl: 0.7760 0.3067 0.5665
Cl: 0.7240 0.8067 0.9335
Cl: 0.8498 0.7979 0.6642
Cl: 0.6502 0.2979 0.8358
Cl: 0.1502 0.2021 0.3358
Cl: 0.3498 0.7021 0.1642
Cl: 0.7107 0.7824 0.4848
Cl: 0.7893 0.2824 0.0152
Cl: 0.2893 0.2176 0.5152
Cl: 0.2107 0.7176 0.9848

Properties
Distance to the lowest polymorph of the same formula = 0.0 kJ/mol of formula units
Uncorrected formation energy = -674 meV/atom
Density = 3.099 g/cm3
M_tot = 0.00 μB per formula unit
DOS at the Fermi energy = 0.000 states/eV per atom

=====

> Look up the M_tot of the first one.

0.00 μB per formula unit